Record 1
ZnHgW | the Alexandria database | SCAN | single point on PBEsol structure; DFT total energy = -49.14 eV per atom; E_form = 1.321 eV/atom; space group = F-43m; DOS(E_F) = 1.8 states/eV per cell
1.0
4.361 0.000 0.000
2.180 3.776 0.000
2.180 1.259 3.560
Hg W Zn
1 1 1
Cartesian
2.180 1.259 0.890
0.000 0.000 0.000
4.361 2.518 1.780

---

Record 2
Zn3HgW | the Alexandria database | SCAN | single point on PBEsol structure; DFT total energy = -34.11 eV per atom; E_form = 1.566 eV/atom; space group = Pm-3m; DOS(E_F) = 2.5 states/eV per cell
1.0
-0.808 3.436 3.191
-4.451 -1.581 0.575
1.475 -2.887 3.483
Zn Hg W
3 1 1
Cartesian
-2.226 -0.790 0.287
0.737 -1.444 1.741
-0.404 1.718 1.595
0.000 0.000 0.000
-1.892 -0.516 3.624

---

Record 3
ZrHg2W | the Alexandria database | SCAN | single point on PBEsol structure; DFT total energy = -58.92 eV per atom; E_form = 0.255 eV/atom; space group = P4/mmm; DOS(E_F) = 2.1 states/eV per cell
1.0
-0.034 3.081 2.730
-3.158 -1.771 1.960
2.826 -2.223 2.545
Hg W Zr
2 1 1
Cartesian
-1.579 -0.885 0.980
-0.017 1.541 1.365
-0.183 -0.456 3.617
1.413 -1.112 1.272

---

What is the formula in the third record?
ZrHg2W

---

What is the DFT total energy in the first record?
-49.14 eV per atom